# Sr2MgTiBe | Alexandria via LeMat-Bulk | GGA-PBE | relaxed
data_Sr2MgTiBe
_symmetry_space_group_name_H-M 'P 1'
_symmetry_Int_Tables_number 1
_symmetry_space_group_name_Hall 'P 1'
_cell_length_a 6.1679
_cell_length_b 4.5628
_cell_length_c 6.1679
_cell_angle_alpha 90.00
_cell_angle_beta 90.00
_cell_angle_gamma 90.00
loop_
_atom_site_label
_atom_site_fract_x
_atom_site_fract_y
_atom_site_fract_z
Be1 0.0000 0.5000 0.0000
Ti1 0.0000 0.0000 0.0000
Sr1 0.0000 0.0000 0.5000
Mg1 0.5000 0.5000 0.5000
Sr2 0.5000 0.0000 0.0000
# Volume (A^3/atom): 34.717
# Energy relative to the elements (eV per atom): 0.8681
# D(E_F) (states/eV per cell): 4.38
# Size of the total moment (μB/cell): 2.67
# Electronic total energy (eV per formula unit): -12.24

***

# Nb2NiRu3 | Alexandria via LeMat-Bulk | GGA-PBE | relaxed
data_Nb2NiRu3
_symmetry_space_group_name_H-M 'P 1'
_symmetry_Int_Tables_number 1
_symmetry_space_group_name_Hall 'P 1'
_cell_length_a 7.9113
_cell_length_b 7.9113
_cell_length_c 8.3737
_cell_angle_alpha 118.19
_cell_angle_beta 118.19
_cell_angle_gamma 90.00
loop_
_atom_site_label
_atom_site_fract_x
_atom_site_fract_y
_atom_site_fract_z
Ru1 0.6250 0.8750 0.7500
Nb1 0.3672 0.6591 0.3183
Nb2 0.9091 0.7011 0.8183
Ni1 0.9881 0.4881 0.9763
Nb3 0.3409 0.0489 0.6817
Ru2 0.3023 0.3023 0.0000
Ru3 0.9477 0.4477 0.5000
Ru4 0.5523 0.4477 0.5000
Ru5 0.3023 0.6977 0.0000
Ru6 0.1250 0.8750 0.2500
Ru7 0.5523 0.0523 0.5000
Nb4 0.9511 0.6591 0.3183
Ru8 0.9477 0.0523 0.5000
Nb5 0.8828 0.0909 0.1817
Nb6 0.9091 0.1172 0.8183
Ni2 0.2619 0.2619 0.5237
Ru9 0.6977 0.6977 0.0000
Nb7 0.2989 0.0909 0.1817
Ru10 0.1250 0.8750 0.7500
Ni3 0.5119 0.0119 0.0237
Nb8 0.3409 0.6328 0.6817
Ni4 0.7381 0.7381 0.4763
Ru11 0.6977 0.3023 0.0000
Ru12 0.1250 0.3750 0.2500
# Volume (A^3/atom): 16.250
# Energy relative to the elements (eV per atom): 0.1705
# D(E_F) (states/eV per cell): 28.80
# Size of the total moment (μB/cell): 0.00
# Electronic total energy (eV per formula unit): -52.73

***

# Nd4Al2S | Alexandria via LeMat-Bulk | GGA-PBE | relaxed
data_Nd4Al2S
_symmetry_space_group_name_H-M 'P 1'
_symmetry_Int_Tables_number 1
_symmetry_space_group_name_Hall 'P 1'
_cell_length_a 4.2827
_cell_length_b 6.6250
_cell_length_c 7.8060
_cell_angle_alpha 75.82
_cell_angle_beta 74.08
_cell_angle_gamma 71.14
loop_
_atom_site_label
_atom_site_fract_x
_atom_site_fract_y
_atom_site_fract_z
Nd1 0.6719 0.7376 0.9187
Nd2 0.0877 0.1915 0.6331
Nd3 0.9123 0.8085 0.3669
Al1 0.3842 0.5727 0.6588
Al2 0.6158 0.4273 0.3412
Nd4 0.3281 0.2624 0.0813
S1 0.0000 0.0000 0.0000
# E_form (uncorrected) (eV per atom): -0.75
# Volume (A^3/atom): 28.365
# D(E_F) (states/eV per cell): 8.14
# Size of the total moment (μB/cell): 0.00
# Electronic total energy (eV per formula unit): -35.92

***

# KCeTe2O8 | Alexandria via LeMat-Bulk | GGA-PBE | relaxed
data_KCeTe2O8
_symmetry_space_group_name_H-M 'P 1'
_symmetry_Int_Tables_number 1
_symmetry_space_group_name_Hall 'P 1'
_cell_length_a 6.0985
_cell_length_b 6.0985
_cell_length_c 7.7410
_cell_angle_alpha 90.00
_cell_angle_beta 90.00
_cell_angle_gamma 120.00
loop_
_atom_site_label
_atom_site_fract_x
_atom_site_fract_y
_atom_site_fract_z
Ce1 0.0000 0.0000 0.5000
O1 0.1673 0.3350 0.6881
O2 0.8322 0.1673 0.3119
O3 0.3350 0.1678 0.3119
K1 0.0000 0.0000 0.0000
O4 0.8327 0.6650 0.3119
Te1 0.3333 0.6667 0.7750
O5 0.3333 0.6667 0.0109
Te2 0.6667 0.3333 0.2250
O6 0.6650 0.8322 0.6881
O7 0.6667 0.3333 0.9891
O8 0.1678 0.8327 0.6881
# E_form (uncorrected) (eV per atom): -1.55
# Volume (A^3/atom): 20.777
# D(E_F) (states/eV per cell): 5.65
# Size of the total moment (μB/cell): 1.03
# Electronic total energy (eV per formula unit): -71.63

***

no.,density (g cm⁻³)
1,2.45
2,9.33
3,5.54
4,3.75